TiPd7Pt3 | GGA-PBE | optimized geometry

Energy relative to the elements ... -189 meV/atom
Density of states at the Fermi level ... 16.145 states/eV/cell
Theoretical density ... 12.82 Mg/m³

Unit cell a=5.5364 b=5.5364 c=6.7249 alpha=90.00 beta=90.00 gamma=120.00
Space group P3m1 (No. 156)
Asymmetric unit:
Ti (0.0000, 0.0000, 0.0000) x1
Pd (0.3331, 0.1666, 0.6636) x3
Pd (0.3333, 0.6667, 0.6625) x1
Pd (0.5022, 0.0045, 0.0003) x3
Pt (0.1655, 0.3310, 0.3256) x3